! YMg2 (GGA-PBE, relaxed); values from VASP
&SYSTEM
  ibrav = 0, nat = 6, ntyp = 2
/
ATOMIC_SPECIES
Y 88.91 Y.upf
Mg 24.30 Mg.upf
ATOMIC_POSITIONS angstrom
Y 0.000 0.000 2.804
Y 0.000 0.000 13.466
Mg 0.000 0.000 8.135
Mg 0.000 1.950 0.000
Mg 0.000 1.950 5.588
Mg 0.000 1.950 10.682
CELL_PARAMETERS angstrom
3.377 0.000 0.000
-1.689 2.925 0.000
0.000 0.000 16.270
! Raw total energy ... -3.177 eV per atom
! Theoretical density ... 2.84 g/cm³
! Size of the total moment ... 0.000 μB/cell